# Np2MnCuO8, optimized geometry, DFT GGA+U
# calculated total energy: -8.63 eV/atom
# N(E_F): 9.3 states/eV/f.u.
# magnetic moment: 5.98 μB per formula unit
# space group: Cmmm (65)
data_Np2MnCuO8
_chemical_formula_sum 'Np2 Mn1 Cu1 O8'
_symmetry_space_group_name_H-M 'P 1'
_symmetry_Int_Tables_number 1
_cell_length_a 4.707
_cell_length_b 4.707
_cell_length_c 6.982
_cell_angle_alpha 90.00
_cell_angle_beta 90.00
_cell_angle_gamma 90.55
loop_
_symmetry_equiv_pos_as_xyz
'x,y,z'
loop_
_atom_site_label
_atom_site_type_symbol
_atom_site_fract_x
_atom_site_fract_y
_atom_site_fract_z
Np1 Np 0.000 0.000 0.248
Np2 Np 0.000 0.000 0.752
Mn1 Mn 0.500 0.500 0.500
Cu1 Cu 0.500 0.500 0.000
O1 O 0.192 0.192 0.500
O2 O 0.197 0.197 0.000
O3 O 0.288 0.712 0.253
O4 O 0.288 0.712 0.747
O5 O 0.712 0.288 0.253
O6 O 0.712 0.288 0.747
O7 O 0.803 0.803 0.000
O8 O 0.808 0.808 0.500